DFT (PBEsol) results for a relaxed Mn3CuAg crystal.

Summary:
Total DFT energy (no corrections), eV/atom: -5.729
Energy of formation, eV per atom: 1.66

Cell lengths 4.772, 4.772, 4.772 Å; angles 90.00, 90.00, 90.00 degrees
Element x y z (fractional)
Mn 0.000 0.000 0.500
Mn 0.000 0.500 0.000
Mn 0.500 0.000 0.000
Cu 0.500 0.500 0.500
Ag 0.000 0.000 0.000